Pu2SiGeAu6: optimized geometry, PBE.

Summary:
space-group type = Pmmn (59)
calculated total energy = -121.2 eV for the cell shown
formation energy (no corrections) = -223.7 meV/atom

a b c (Å): 5.7864 8.4344 9.1363
angles (deg): 90.00 90.00 90.00
With the nearest neighbours (Å) after each atom.
Atoms (fractional coordinates):
Pu  0.2500  0.0092  0.2354  8 Au 3.15-3.43
Pu  0.2500  0.4908  0.2354  8 Au 3.15-3.43
Pu  0.7500  0.5092  0.7646  8 Au 3.15-3.43
Pu  0.7500  0.9908  0.7646  8 Au 3.15-3.43
Si  0.2500  0.2500  0.7573  6 Au 2.46-2.62
Si  0.7500  0.7500  0.2427  6 Au 2.46-2.62
Ge  0.2500  0.7500  0.7955  4 Au 2.53-2.55
Ge  0.7500  0.2500  0.2045  4 Au 2.53-2.55
Au  0.0034  0.2500  0.9766  1 Si 2.46, 1 Ge 2.55
Au  0.0058  0.7500  0.4799  1 Si 2.62, 5 Au 2.82-2.83
Au  0.2500  0.5099  0.6287  1 Si 2.49, 1 Ge 2.53
Au  0.2500  0.9901  0.6287  1 Si 2.49, 1 Ge 2.53
Au  0.4942  0.7500  0.4799  1 Si 2.62, 5 Au 2.82-2.83
Au  0.4966  0.2500  0.9766  1 Si 2.46, 1 Ge 2.55
Au  0.5034  0.7500  0.0234  1 Si 2.46, 1 Ge 2.55
Au  0.5058  0.2500  0.5201  1 Si 2.62, 5 Au 2.82-2.83
Au  0.7500  0.0099  0.3713  1 Si 2.49, 1 Ge 2.53
Au  0.7500  0.4901  0.3713  1 Si 2.49, 1 Ge 2.53
Au  0.9942  0.2500  0.5201  1 Si 2.62, 5 Au 2.82-2.83
Au  0.9966  0.7500  0.0234  1 Si 2.46, 1 Ge 2.55

***

InAgCl: optimized geometry, PBE.

Summary:
space-group type = Amm2 (38)
calculated total energy = -16.5 eV for the cell shown
formation energy (no corrections) = -268.8 meV/atom

a b c (Å): 11.5635 4.0673 4.0673
angles (deg): 52.53 90.00 90.00
With the nearest neighbours (Å) after each atom.
Atoms (fractional coordinates):
In  0.1548  0.0000  0.0000  3 Ag 2.82-2.93, 2 Cl 2.91
In  0.8452  0.0000  0.0000  3 Ag 2.82-2.93, 2 Cl 2.91
Ag  0.0000  0.7010  0.7010  6 In 2.82-2.93
Ag  0.5000  0.7768  0.7768  6 Cl 2.78-2.88
Cl  0.3525  0.4762  0.4762  3 Ag 2.78-2.88, 2 In 2.91
Cl  0.6475  0.4762  0.4762  3 Ag 2.78-2.88, 2 In 2.91